# 1
DFT (PBEsol) results for an optimized crystal structure of LaTaSi3. Values from VASP.

Values from the calculation:
As for the total energy: -7.149 eV per atom. Its spin magnetization is 0.0 μB/cell. The calculated volume comes out at 22.00 Å³/atom. The raw formation energy is -0.121 eV per atom.

The structure in Quantum ESPRESSO input format:
```
&SYSTEM
  ibrav = 0, nat = 5, ntyp = 3
/
ATOMIC_SPECIES
Ta 180.95 Ta.upf
Si 28.09 Si.upf
La 138.91 La.upf
ATOMIC_POSITIONS crystal
Ta 0.0000 0.0000 0.0000
Si 0.0000 0.0000 0.5000
Si 0.0000 0.5000 0.0000
Si 0.5000 0.0000 0.0000
La 0.5000 0.5000 0.5000
CELL_PARAMETERS angstrom
4.7913 0.0000 0.0000
0.0000 4.7913 0.0000
0.0000 0.0000 4.7913
```

=====

# 2
DFT (PBEsol) results for an optimized crystal structure of LaTa2Si. Values from VASP.

Values from the calculation:
As for the total energy: -8.811 eV per atom. Its spin magnetization is 0.0 μB/cell. The calculated volume comes out at 20.73 Å³/atom. The raw formation energy is 0.238 eV per atom.

The structure in Quantum ESPRESSO input format:
```
&SYSTEM
  ibrav = 0, nat = 4, ntyp = 3
/
ATOMIC_SPECIES
Ta 180.95 Ta.upf
Si 28.09 Si.upf
La 138.91 La.upf
ATOMIC_POSITIONS crystal
Ta 0.8179 0.0000 0.7015
Ta 0.1821 0.0000 0.2985
Si 0.0000 0.5000 0.5000
La 0.5000 0.5000 0.0000
CELL_PARAMETERS angstrom
-0.8854 2.2151 -2.5656
1.0269 -3.2276 -3.1410
-4.6540 -2.1421 0.6797
```

=====

The lowest raw formation energy belongs to which entry?
LaTaSi3